Compound: TlZnCl
Source: Alexandria via LeMat-Bulk
Functional: meta-GGA SCAN
Structure: PBEsol geometry

Unit cell a=3.3812 b=3.3812 c=7.1820 alpha=97.72 beta=97.72 gamma=115.41
Fractional positions:
Cl 0.9640 0.9640 0.9280
Zn 0.3520 0.3520 0.7040
Tl 0.6840 0.6840 0.3679

## Properties
**Calculated total energy**: -31.6544 eV per atom
**Uncorrected formation energy**: -371 meV per atom